This record from the Alexandria database describes crystalline CeTm5Ru6 at its relaxed geometry. The functional is PBE-GGA.

Geometry as POSCAR:
```
CeTm5Ru6
1.0
2.3892 -7.1034 0.0000
2.3892 7.1034 0.0000
0.0000 0.0000 6.7561
Ce Tm Ru
1 5 6
Cartesian
0.0000 0.0000 0.0000 Ce
0.0000 0.0000 3.3780 Tm
2.3892 2.4156 0.0000 Tm
2.3892 2.3781 3.3780 Tm
2.3892 -2.3781 3.3780 Tm
2.3892 -2.4156 0.0000 Tm
2.3892 4.7937 1.6583 Ru
2.3892 4.7937 5.0978 Ru
2.3892 0.0000 1.6432 Ru
2.3892 0.0000 5.1129 Ru
2.3892 -4.7937 1.6583 Ru
2.3892 -4.7937 5.0978 Ru
```

## Properties
E_form in eV per atom: -0.456
E in eV/atom: -7.4517
M_tot in μB/atom: 0.0000
V in A^3/atom: 19.110



This record from the Alexandria database describes crystalline CeTm3Ru3 at its relaxed geometry. The functional is PBE-GGA.

Geometry as POSCAR:
```
CeTm3Ru3
1.0
4.6807 2.7024 1.9729
-4.6807 2.7024 1.9729
0.0000 -5.4048 1.9729
Ce Tm Ru
1 3 3
Cartesian
0.0000 0.0000 0.0000 Ce
0.0000 -2.2107 3.1988 Tm
-1.9145 1.1053 3.1988 Tm
1.9145 1.1053 3.1988 Tm
-2.4505 -1.4148 4.3171 Ru
2.4505 -1.4148 4.3171 Ru
0.0000 2.8296 4.3171 Ru
```

## Properties
E_form in eV per atom: -0.471
E in eV/atom: -7.2102
M_tot in μB/atom: 0.0000
V in A^3/atom: 21.390



This record from the Alexandria database describes crystalline Ce3TmRu3 at its relaxed geometry. The functional is PBE-GGA.

Geometry as POSCAR:
```
Ce3TmRu3
1.0
4.1697 -5.3969 0.0000
4.1697 5.3969 0.0000
-0.0794 0.0000 7.2672
Ce Tm Ru
6 2 6
Cartesian
4.1697 3.4553 0.0000 Ce
4.1300 2.6384 3.6336 Ce
3.0267 0.0000 6.2386 Ce
5.2333 0.0000 1.0286 Ce
4.1300 -2.6384 3.6336 Ce
4.1697 -3.4553 0.0000 Ce
1.9139 0.0000 2.6616 Tm
6.3461 0.0000 4.6056 Tm
2.5644 2.6027 1.6970 Ru
0.7848 0.0000 5.2207 Ru
5.6956 2.6027 5.5702 Ru
2.5644 -2.6027 1.6970 Ru
7.4752 0.0000 2.0465 Ru
5.6956 -2.6027 5.5702 Ru
```

## Properties
E_form in eV per atom: -0.301
E in eV/atom: -7.4585
M_tot in μB/atom: 0.0487
V in A^3/atom: 23.362



This record from the Alexandria database describes crystalline CeTm3Ru3 at its relaxed geometry. The functional is PBE-GGA.

Geometry as POSCAR:
```
CeTm3Ru3
1.0
4.7697 -4.8274 0.0000
4.7697 4.8274 0.0000
-0.2507 0.0000 6.7257
Ce Tm Ru
2 6 6
Cartesian
2.2484 0.0000 0.6842 Ce
7.0403 0.0000 6.0416 Ce
4.6443 3.0335 3.3629 Tm
4.7697 2.2551 0.0000 Tm
2.8648 0.0000 3.9401 Tm
6.4238 0.0000 2.7857 Tm
4.7697 -2.2551 0.0000 Tm
4.6443 -3.0335 3.3629 Tm
2.3388 2.3551 1.7153 Ru
0.4251 0.0000 5.4200 Ru
2.3388 -2.3551 1.7153 Ru
6.9498 2.3551 5.0104 Ru
8.8636 0.0000 1.3058 Ru
6.9498 -2.3551 5.0104 Ru
```

## Properties
E_form in eV per atom: -0.355
E in eV/atom: -7.0940
M_tot in μB/atom: 0.0000
V in A^3/atom: 22.123



This record from the Alexandria database describes crystalline Ce2TmRu3 at its relaxed geometry. The functional is PBE-GGA.

Geometry as POSCAR:
```
Ce2TmRu3
1.0
7.7092 -2.8175 0.0000
7.7092 2.8175 0.0000
-2.0097 0.0000 5.5366
Ce Tm Ru
4 2 6
Cartesian
2.4657 0.4741 0.5901 Ce
1.4609 -0.4741 3.3584 Ce
11.9479 0.4741 2.1782 Ce
10.9431 -0.4741 4.9465 Ce
6.2020 0.8801 4.1525 Tm
7.2068 -0.8801 1.3842 Tm
7.2068 1.9990 1.3842 Ru
4.4978 0.3656 1.9868 Ru
3.4929 -0.3656 4.7551 Ru
9.9158 0.3656 0.7815 Ru
8.9110 -0.3656 3.5498 Ru
6.2020 -1.9990 4.1525 Ru
```

## Properties
E_form in eV per atom: -0.293
E in eV/atom: -7.6540
M_tot in μB/atom: 0.0000
V in A^3/atom: 20.043



This record from the Alexandria database describes crystalline CeTm4Ru2 at its relaxed geometry. The functional is PBE-GGA.

Geometry as POSCAR:
```
CeTm4Ru2
1.0
7.5926 0.0000 0.0000
0.0000 6.3127 0.0000
-3.3735 0.0000 7.4238
Ce Tm Ru
2 8 4
Cartesian
-0.3487 1.5782 1.3464 Ce
4.5678 4.7345 6.0774 Ce
-0.1181 3.1771 4.3759 Tm
-0.1181 6.2920 4.3759 Tm
1.5945 4.7345 1.8911 Tm
2.8552 1.5782 0.0791 Tm
1.3639 4.7345 7.3447 Tm
2.6247 1.5782 5.5327 Tm
4.3372 0.0207 3.0480 Tm
4.3372 3.1356 3.0480 Tm
-2.2980 1.5782 5.3573 Ru
1.7384 1.5782 2.6274 Ru
2.4807 4.7345 4.7964 Ru
6.5171 4.7345 2.0665 Ru
```

## Properties
E_form in eV per atom: -0.273
E in eV/atom: -6.3266
M_tot in μB/atom: 0.0742
V in A^3/atom: 25.416



This record from the Alexandria database describes crystalline CeTmRu at its relaxed geometry. The functional is PBE-GGA.

Geometry as POSCAR:
```
CeTmRu
1.0
6.2156 -1.8404 0.0000
6.2156 1.8404 0.0000
-4.2380 0.0000 6.4500
Ce Tm Ru
2 2 2
Cartesian
-0.4772 0.0000 2.5388 Ce
8.6704 0.0000 3.9111 Ce
0.2315 0.0000 6.0611 Tm
7.9617 0.0000 0.3888 Tm
3.1026 0.0000 2.1583 Ru
5.0906 0.0000 4.2916 Ru
```

## Properties
E_form in eV per atom: -0.302
E in eV/atom: -6.8624
M_tot in μB/atom: 0.2135
V in A^3/atom: 24.595



This record from the Alexandria database describes crystalline CeTmRu at its relaxed geometry. The functional is PBE-GGA.

Geometry as POSCAR:
```
CeTmRu
1.0
0.0000 3.3760 3.3760
3.3760 0.0000 3.3760
3.3760 3.3760 0.0000
Ce Tm Ru
1 1 1
Cartesian
0.0000 0.0000 0.0000 Ce
3.3760 3.3760 3.3760 Tm
5.0640 5.0640 5.0640 Ru
```

## Properties
E_form in eV per atom: -0.208
E in eV/atom: -6.7679
M_tot in μB/atom: 0.2310
V in A^3/atom: 25.651



This record from the Alexandria database describes crystalline Ce2Tm3Ru4 at its relaxed geometry. The functional is PBE-GGA.

Geometry as POSCAR:
```
Ce2Tm3Ru4
1.0
7.3187 -4.5672 0.0000
7.3187 4.5672 0.0000
-0.6636 0.0000 5.8259
Ce Tm Ru
4 6 8
Cartesian
2.9344 0.9968 0.4507 Ce
2.6026 -0.9968 3.3637 Ce
11.3711 0.9968 2.4623 Ce
11.0393 -0.9968 5.3752 Ce
6.8210 3.9118 4.3694 Tm
5.4915 0.9211 3.3957 Tm
8.1505 0.9211 5.3432 Tm
5.8233 -0.9211 0.4828 Tm
8.4823 -0.9211 2.4302 Tm
7.1528 -3.9118 1.4565 Tm
2.3399 1.3379 3.4003 Ru
6.3024 2.0513 0.4996 Ru
2.6717 -1.3379 0.4873 Ru
8.0031 2.0513 2.4134 Ru
5.9706 -2.0513 3.4125 Ru
11.3021 1.3379 5.3386 Ru
7.6713 -2.0513 5.3263 Ru
11.6339 -1.3379 2.4257 Ru
```

## Properties
E_form in eV per atom: -0.300
E in eV/atom: -7.2321
M_tot in μB/atom: 0.0000
V in A^3/atom: 21.637



This record from the Alexandria database describes crystalline CeTmRu at its relaxed geometry. The functional is PBE-GGA.

Geometry as POSCAR:
```
CeTmRu
1.0
7.1134 0.0000 0.0000
0.0000 5.0719 0.0000
0.0000 0.0000 8.1176
Ce Tm Ru
4 4 4
Cartesian
0.2180 1.2680 1.3643 Ce
3.3387 3.8039 5.4231 Ce
3.7747 1.2680 2.6945 Ce
6.8954 3.8039 6.7533 Ce
0.9652 1.2680 4.8201 Tm
2.5915 3.8039 0.7613 Tm
4.5219 1.2680 7.3563 Tm
6.1482 3.8039 3.2975 Tm
1.6579 1.2680 7.6751 Ru
1.8988 3.8039 3.6162 Ru
5.2146 1.2680 4.5014 Ru
5.4555 3.8039 0.4426 Ru
```

## Properties
E_form in eV per atom: -0.394
E in eV/atom: -6.9546
M_tot in μB/atom: 0.0002
V in A^3/atom: 24.406



This record from the Alexandria database describes crystalline Ce2TmU2Ru5 at its relaxed geometry. The functional is PBE-GGA.

Geometry as POSCAR:
```
Ce2TmU2Ru5
1.0
10.5683 0.0000 0.0000
0.0000 10.5683 0.0000
0.0000 0.0000 3.6096
Ce Tm U Ru
4 2 4 10
Cartesian
1.8722 3.4120 0.0000 Ce
3.4120 8.6962 0.0000 Ce
7.1564 1.8722 0.0000 Ce
8.6962 7.1564 0.0000 Ce
0.0000 0.0000 0.0000 Tm
5.2842 5.2842 0.0000 Tm
1.4867 6.7709 0.0000 U
3.7974 1.4867 0.0000 U
6.7709 9.0816 0.0000 U
9.0816 3.7974 0.0000 U
0.0000 5.2842 1.8048 Ru
0.5653 8.3745 1.8048 Ru
2.1939 0.5653 1.8048 Ru
3.0903 5.8494 1.8048 Ru
4.7189 3.0903 1.8048 Ru
5.2842 0.0000 1.8048 Ru
5.8494 7.4780 1.8048 Ru
7.4780 4.7189 1.8048 Ru
8.3745 10.0031 1.8048 Ru
10.0031 2.1939 1.8048 Ru
```

## Properties
E_form in eV per atom: -0.256
E in eV/atom: -8.7850
M_tot in μB/atom: 0.1474
V in A^3/atom: 20.158



This record from the Alexandria database describes crystalline CeTmZnRu at its relaxed geometry. The functional is PBE-GGA.

Geometry as POSCAR:
```
CeTmZnRu
1.0
0.0000 3.4791 3.4791
3.4791 0.0000 3.4791
3.4791 3.4791 0.0000
Ce Tm Zn Ru
1 1 1 1
Cartesian
0.0000 0.0000 0.0000 Ce
3.4791 3.4791 3.4791 Tm
5.2187 5.2187 5.2187 Zn
1.7396 1.7396 1.7396 Ru
```

## Properties
E_form in eV per atom: -0.330
E in eV/atom: -5.5684
M_tot in μB/atom: 0.0003
V in A^3/atom: 21.056



This record from the Alexandria database describes crystalline CeURu5 at its relaxed geometry. The functional is PBE-GGA.

Geometry as POSCAR:
```
CeURu5
1.0
3.9951 0.0000 0.0000
0.0000 3.9951 0.0000
0.0000 0.0000 7.7072
Ce U Ru
1 1 5
Cartesian
0.0000 0.0000 0.0000 Ce
1.9976 1.9976 3.8536 U
0.0000 1.9976 2.0980 Ru
0.0000 1.9976 5.6092 Ru
1.9976 0.0000 2.0980 Ru
1.9976 0.0000 5.6092 Ru
1.9976 1.9976 0.0000 Ru
```

## Properties
E_form in eV per atom: 0.058
E in eV/atom: -9.0283
M_tot in μB/atom: 0.0000
V in A^3/atom: 17.574



This record from the Alexandria database describes crystalline CeU2Ru at its relaxed geometry. The functional is PBE-GGA.

Geometry as POSCAR:
```
CeU2Ru
1.0
2.3186 1.3387 4.4502
-2.3186 1.3387 4.4502
0.0000 -2.6773 4.4502
Ce U Ru
1 2 1
Cartesian
0.0000 0.0000 0.0000 Ce
0.0000 0.0000 3.2912 U
0.0000 0.0000 10.0595 U
0.0000 0.0000 6.6753 Ru
```

## Properties
E_form in eV per atom: 0.116
E in eV/atom: -9.3305
M_tot in μB/atom: 1.1274
V in A^3/atom: 20.719



This record from the Alexandria database describes crystalline Ce5URu6 at its relaxed geometry. The functional is PBE-GGA.

Geometry as POSCAR:
```
Ce5URu6
1.0
4.0519 -6.9321 0.0000
4.0519 6.9321 0.0000
-2.6194 0.0000 4.4092
Ce U Ru
5 1 6
Cartesian
0.0000 0.0000 0.0000 Ce
2.7422 4.6866 2.2046 Ce
4.0519 2.4371 0.0000 Ce
4.0519 -2.4371 0.0000 Ce
2.7422 -4.6866 2.2046 Ce
2.7422 0.0000 2.2046 U
1.4533 2.0878 1.3625 Ru
0.3372 0.0000 3.2748 Ru
1.4533 -2.0878 1.3625 Ru
4.0311 2.0878 3.0467 Ru
5.1472 0.0000 1.1344 Ru
4.0311 -2.0878 3.0467 Ru
```

## Properties
E_form in eV per atom: -0.317
E in eV/atom: -8.3677
M_tot in μB/atom: 0.0000
V in A^3/atom: 20.641



This record from the Alexandria database describes crystalline Ce2URu2 at its relaxed geometry. The functional is PBE-GGA.

Geometry as POSCAR:
```
Ce2URu2
1.0
4.9825 -2.9529 0.0000
4.9825 2.9529 0.0000
-1.0807 0.0000 7.6326
Ce U Ru
4 2 4
Cartesian
1.3215 0.7476 1.1753 Ce
0.7812 -0.7476 4.9916 Ce
8.1031 0.7476 2.6410 Ce
7.5628 -0.7476 6.4573 Ce
4.7123 0.9911 1.9081 U
4.1720 -0.9911 5.7244 U
3.2256 0.7724 3.7845 Ru
6.1991 0.7724 0.0318 Ru
2.6852 -0.7724 7.6008 Ru
5.6588 -0.7724 3.8481 Ru
```

## Properties
E_form in eV per atom: -0.270
E in eV/atom: -8.6112
M_tot in μB/atom: 0.4046
V in A^3/atom: 22.460



This record from the Alexandria database describes crystalline Ce5URu6 at its relaxed geometry. The functional is PBE-GGA.

Geometry as POSCAR:
```
Ce5URu6
1.0
3.6465 -6.7143 0.0000
3.6465 6.7143 0.0000
-2.3779 0.0000 5.2680
Ce U Ru
5 1 6
Cartesian
0.0000 0.0000 0.0000 Ce
2.4575 4.0417 2.6340 Ce
3.6465 1.8895 0.0000 Ce
3.6465 -1.8895 0.0000 Ce
2.4575 -4.0417 2.6340 Ce
2.4575 0.0000 2.6340 U
1.2525 2.2371 0.9175 Ru
0.2086 0.0000 3.1623 Ru
1.2525 -2.2371 0.9175 Ru
3.6625 2.2371 4.3505 Ru
4.7065 0.0000 2.1056 Ru
3.6625 -2.2371 4.3505 Ru
```

## Properties
E_form in eV per atom: -0.303
E in eV/atom: -8.3545
M_tot in μB/atom: 0.0061
V in A^3/atom: 21.496



This record from the Alexandria database describes crystalline Ce2YU2Ru5 at its relaxed geometry. The functional is PBE-GGA.

Geometry as POSCAR:
```
Ce2YU2Ru5
1.0
10.5372 0.0000 0.0000
0.0000 10.5372 0.0000
0.0000 0.0000 3.6767
Ce Y U Ru
4 2 4 10
Cartesian
1.8922 3.3765 0.0000 Ce
3.3765 8.6451 0.0000 Ce
7.1608 1.8922 0.0000 Ce
8.6451 7.1608 0.0000 Ce
0.0000 0.0000 0.0000 Y
5.2686 5.2686 0.0000 Y
1.4474 6.7160 0.0000 U
3.8212 1.4474 0.0000 U
6.7160 9.0898 0.0000 U
9.0898 3.8212 0.0000 U
0.0000 5.2686 1.8384 Ru
0.5659 8.3089 1.8384 Ru
2.2283 0.5659 1.8384 Ru
3.0403 5.8345 1.8384 Ru
4.7027 3.0403 1.8384 Ru
5.2686 0.0000 1.8384 Ru
5.8345 7.4969 1.8384 Ru
7.4969 4.7027 1.8384 Ru
8.3089 9.9713 1.8384 Ru
9.9713 2.2283 1.8384 Ru
```

## Properties
E_form in eV per atom: -0.234
E in eV/atom: -8.9630
M_tot in μB/atom: 0.1428
V in A^3/atom: 20.412



This record from the Alexandria database describes crystalline CeUZnRu at its relaxed geometry. The functional is PBE-GGA.

Geometry as POSCAR:
```
CeUZnRu
1.0
0.0000 3.3493 3.3493
3.3493 0.0000 3.3493
3.3493 3.3493 0.0000
Ce U Zn Ru
1 1 1 1
Cartesian
0.0000 0.0000 0.0000 Ce
1.6747 1.6747 1.6747 U
5.0240 5.0240 5.0240 Zn
3.3493 3.3493 3.3493 Ru
```

## Properties
E_form in eV per atom: -0.123
E in eV/atom: -7.0660
M_tot in μB/atom: 0.5363
V in A^3/atom: 18.787



This record from the Alexandria database describes crystalline CeVRu at its relaxed geometry. The functional is PBE-GGA.

Geometry as POSCAR:
```
CeVRu
1.0
1.4725 -7.0798 0.0000
1.4725 7.0798 0.0000
0.0000 0.0000 5.3669
Ce V Ru
2 2 2
Cartesian
1.4725 4.5705 4.0252 Ce
1.4725 -4.5705 1.3417 Ce
1.4725 0.0000 0.0000 V
1.4725 0.0000 2.6834 V
1.4725 2.0632 4.0252 Ru
1.4725 -2.0632 1.3417 Ru
```

## Properties
E_form in eV per atom: 0.150
E in eV/atom: -7.9589
M_tot in μB/atom: 0.0003
V in A^3/atom: 18.650



This record from the Alexandria database describes crystalline CeV2Ru at its relaxed geometry. The functional is PBE-GGA.

Geometry as POSCAR:
```
CeV2Ru
1.0
0.0000 3.1523 3.1523
3.1523 0.0000 3.1523
3.1523 3.1523 0.0000
Ce V Ru
1 2 1
Cartesian
0.0000 0.0000 0.0000 Ce
1.5761 1.5761 1.5761 V
4.7284 4.7284 4.7284 V
3.1523 3.1523 3.1523 Ru
```

## Properties
E_form in eV per atom: 0.051
E in eV/atom: -8.3109
M_tot in μB/atom: 0.0000
V in A^3/atom: 15.662



This record from the Alexandria database describes crystalline CeVRu at its relaxed geometry. The functional is PBE-GGA.

Geometry as POSCAR:
```
CeVRu
1.0
-1.5167 1.5167 5.8689
1.5167 -1.5167 5.8689
1.5167 1.5167 -5.8689
Ce V Ru
1 1 1
Cartesian
0.0000 0.0000 0.0000 Ce
0.0000 0.0000 8.1875 V
0.0000 0.0000 3.5658 Ru
```

## Properties
E_form in eV per atom: -0.102
E in eV/atom: -8.2115
M_tot in μB/atom: 0.0000
V in A^3/atom: 18.001



This record from the Alexandria database describes crystalline Ce2VRu at its relaxed geometry. The functional is PBE-GGA.

Geometry as POSCAR:
```
Ce2VRu
1.0
1.4801 0.8545 9.9945
-1.4801 0.8545 9.9945
0.0000 -1.7091 9.9945
Ce V Ru
2 1 1
Cartesian
0.0000 0.0000 2.6229 Ce
0.0000 0.0000 27.3605 Ce
0.0000 0.0000 0.0000 V
0.0000 0.0000 14.9917 Ru
```

## Properties
E_form in eV per atom: 0.367
E in eV/atom: -7.1990
M_tot in μB/atom: 0.2215
V in A^3/atom: 18.961